First-principles (PBE) data for a relaxed AcDy2PuBi4 crystal, as listed in Alexandria via LeMat-Bulk.

Lattice parameters (Å, degrees): 7.965 4.605 7.978 90.00 109.44 90.00
Space group P2/m (No. 10)
Inequivalent atoms, fractional coordinates:
Ac 0.000 0.000 0.000 x1
Dy 0.000 0.500 0.500 x1
Dy 0.500 0.000 0.500 x1
Pu 0.500 0.500 0.000 x1
Bi 0.255 0.000 0.739 x2
Bi 0.264 0.500 0.267 x2

Its formation energy is -0.734 eV/atom.